Record 1
Entry from the Alexandria database: crystalline Ac8HRu3 at its relaxed geometry (PBE).

```
Ac8HRu3
1.0
8.552 0.000 0.000
-4.276 6.111 -4.173
0.000 -0.303 8.296
Ac Ru H
8 3 1
Direct
0.250 0.989 0.239
0.248 0.497 0.237
0.750 0.011 0.761
0.752 0.503 0.763
0.747 0.494 0.241
0.261 0.011 0.761
0.253 0.506 0.759
0.739 0.989 0.239
0.000 0.500 0.000
0.500 0.000 0.000
0.500 0.500 0.000
0.000 0.000 0.000
```

Calculated values
Energy: -5.536 eV per atom
Space group: No. 12
N(E_F): 8.82 states/eV/f.u.



Record 2
Entry from the Alexandria database: crystalline ErCuRh at its relaxed geometry (PBE).

```
ErCuRh
1.0
3.414 0.000 0.000
0.000 3.414 0.000
-1.707 -1.707 4.489
Er Cu Rh
1 1 1
Direct
0.947 0.947 0.894
0.630 0.630 0.261
0.273 0.273 0.545
```

Calculated values
Energy: -5.788 eV per atom
Space group: No. 107
ΔH_f (0 K): -451 meV per atom
Distance to the lowest polymorph of the same formula: 0.140 eV/atom
N(E_F): 1.62 states/eV/f.u.